4
Lattice="0.000 3.041 3.041 3.041 0.000 3.041 3.041 3.041 0.000" Properties=species:S:1:pos:R:3 comment="FeGeMo2 PBE relaxed" final_energy_ev_per_atom=-8.53 space_group=F-43m pbc="T T T"
Fe 0.000 0.000 0.000
Ge 4.561 4.561 4.561
Mo 1.520 1.520 1.520
Mo 3.041 3.041 3.041